No. 1
This record from the Alexandria database describes Er12Tm7Sc after structural relaxation. The functional is PBE.

Cell lengths 8.568, 8.568, 8.568 Å; angles 86.74, 86.74, 86.74 degrees
Sites, in units of the cell vectors:
Er (0.102, 0.349, 0.423)
Er (0.231, 0.754, 0.353)
Er (0.246, 0.647, 0.769)
Er (0.349, 0.423, 0.102)
Er (0.353, 0.231, 0.754)
Er (0.423, 0.102, 0.349)
Er (0.577, 0.898, 0.651)
Er (0.647, 0.769, 0.246)
Er (0.651, 0.577, 0.898)
Er (0.754, 0.353, 0.231)
Er (0.769, 0.246, 0.647)
Er (0.898, 0.651, 0.577)
Tm (0.003, 0.354, 0.894)
Tm (0.106, 0.997, 0.646)
Tm (0.354, 0.894, 0.003)
Tm (0.500, 0.500, 0.500)
Tm (0.646, 0.106, 0.997)
Tm (0.894, 0.003, 0.354)
Tm (0.997, 0.646, 0.106)
Sc (0.000, 0.000, 0.000)

Properties
- Energy relative to the elements: 241 meV/atom
- Size of the total moment: 0.00 Bohr magnetons per cell
- Excess energy over the best structure of this formula in the dataset: 0 meV/atom
- Fermi-level density of states: 35.28 states/eV/f.u.
- VASP energy: -0.161 Ha/atom


No. 2
This record from the Alexandria database describes Tb3YPu2Se6 after structural relaxation. The functional is PBE.

Cell lengths 9.192, 9.192, 8.245 Å; angles 103.16, 103.16, 25.73 degrees
Sites, in units of the cell vectors:
Tb (0.000, 0.000, 0.000)
Tb (0.333, 0.333, 0.667)
Tb (0.667, 0.667, 0.333)
Y (0.000, 0.000, 0.500)
Pu (0.334, 0.334, 0.167)
Pu (0.666, 0.666, 0.833)
Se (0.166, 0.166, 0.085)
Se (0.166, 0.166, 0.580)
Se (0.498, 0.498, 0.749)
Se (0.502, 0.502, 0.251)
Se (0.834, 0.834, 0.420)
Se (0.834, 0.834, 0.915)

Properties
- Size of the total moment: 11.74 Bohr magnetons per cell
- Uncorrected formation energy: -1.7170 eV per atom
- Fermi-level density of states: 18.58 states/eV/f.u.
- VASP energy: -0.277 Ha/atom


No. 3
This record from the Alexandria database describes La3TcPt after structural relaxation. The functional is PBE.

Cell lengths 5.351, 5.351, 5.351 Å; angles 90.00, 90.00, 90.00 degrees
Sites, in units of the cell vectors:
La (0.000, 0.000, 0.500)
La (0.000, 0.500, 0.000)
La (0.500, 0.000, 0.000)
Tc (0.000, 0.000, 0.000)
Pt (0.500, 0.500, 0.500)

Properties
- Energy relative to the elements: -53 meV/atom
- Size of the total moment: 0.00 Bohr magnetons per cell
- Excess energy over the best structure of this formula in the dataset: 0 meV/atom
- Fermi-level density of states: 5.20 states/eV/f.u.
- VASP energy: -0.231 Ha/atom


No. 4
This record from the Alexandria database describes Pu2MgP3Rh12 after structural relaxation. The functional is PBE.

Cell lengths 6.738, 6.738, 6.738 Å; angles 78.96, 78.96, 78.96 degrees
Sites, in units of the cell vectors:
Pu (0.103, 0.103, 0.103)
Pu (0.897, 0.897, 0.897)
Mg (0.500, 0.500, 0.500)
P (0.000, 0.500, 0.500)
P (0.500, 0.000, 0.500)
P (0.500, 0.500, 0.000)
Rh (0.143, 0.678, 0.678)
Rh (0.153, 0.153, 0.590)
Rh (0.153, 0.590, 0.153)
Rh (0.322, 0.322, 0.857)
Rh (0.322, 0.857, 0.322)
Rh (0.410, 0.847, 0.847)
Rh (0.590, 0.153, 0.153)
Rh (0.678, 0.143, 0.678)
Rh (0.678, 0.678, 0.143)
Rh (0.847, 0.410, 0.847)
Rh (0.847, 0.847, 0.410)
Rh (0.857, 0.322, 0.322)

Properties
- Energy relative to the elements: -307 meV/atom
- Size of the total moment: 6.03 Bohr magnetons per cell
- Fermi-level density of states: 25.80 states/eV/f.u.
- VASP energy: -0.286 Ha/atom


Among the records above, which one has the lowest VASP energy? Pu2MgP3Rh12


Which value of VASP energy does entry 1 give? -0.161 Ha/atom